1.
CaMo3: relaxed, PBE-GGA.

Calculated values
The space group is No. 187.

Cell: 3.1626 3.1626 9.0214 Å, 90.00 90.00 120.00°
Sites, in units of the cell vectors:
Mo  0.0000  0.0000  0.5000
Mo  0.6667  0.3333  0.7073
Mo  0.6667  0.3333  0.2927
Ca  0.0000  0.0000  0.0000

2.
SrGdPdRh: relaxed, PBE-GGA.

Calculated values
The space group is No. 216.

Cell: 5.0541 5.0541 5.0541 Å, 60.00 60.00 60.00°
Sites, in units of the cell vectors:
Sr  0.0000  0.0000  0.0000
Gd  0.5000  0.5000  0.5000
Pd  0.7500  0.7500  0.7500
Rh  0.2500  0.2500  0.2500

3.
SrMgMo: relaxed, PBE-GGA.

Calculated values
The space group is No. 216.

Cell: 5.2835 5.2835 5.2835 Å, 60.00 60.00 60.00°
Sites, in units of the cell vectors:
Sr  0.2500  0.2500  0.2500
Mo  0.5000  0.5000  0.5000
Mg  0.0000  0.0000  0.0000

4.
DyTm3Ir8: relaxed, PBE-GGA.

Calculated values
The space group is No. 160.

Cell: 5.3381 5.3381 9.2373 Å, 73.21 73.21 60.00°
Sites, in units of the cell vectors:
Tm  0.3749  0.3749  0.8752
Tm  0.0002  0.0002  0.9993
Tm  0.4998  0.4998  0.5007
Ir  0.9374  0.4369  0.6883
Ir  0.4377  0.9380  0.1867
Ir  0.9374  0.9374  0.6883
Ir  0.6875  0.6875  0.9375
Ir  0.1875  0.1875  0.4376
Ir  0.4377  0.4377  0.1867
Ir  0.9380  0.4377  0.1867
Ir  0.4369  0.9374  0.6883
Dy  0.8751  0.8751  0.3747

5.
LiMoPt2: relaxed, PBE-GGA.

Calculated values
The space group is No. 12.

Cell: 4.6475 4.6475 4.9690 Å, 82.24 82.24 34.24°
Sites, in units of the cell vectors:
Pt  0.4988  0.4988  0.5016
Pt  0.0012  0.0012  0.9984
Li  0.7500  0.7500  0.7500
Mo  0.2500  0.2500  0.2500

6.
BaH16O10: relaxed, PBE-GGA.

Calculated values
The space group is No. 7.

Cell: 6.3705 6.3557 11.5830 Å, 90.42 90.00 90.00°
Sites, in units of the cell vectors:
H  0.7928  0.7332  0.7771
H  0.2765  0.5977  0.6048
H  0.0452  0.4469  0.8461
H  0.7920  0.2635  0.7185
H  0.2072  0.7332  0.2771
H  0.4425  0.0476  0.3452
H  0.2886  0.3896  0.1096
H  0.9562  0.5496  0.1493
H  0.4000  0.7142  0.1056
H  0.9548  0.4469  0.3461
H  0.2080  0.2635  0.2185
H  0.2632  0.2036  0.7185
H  0.7114  0.3896  0.6096
H  0.2779  0.3987  0.8906
H  0.3917  0.7159  0.8862
H  0.4442  0.9491  0.1502
H  0.3904  0.2805  0.6093
H  0.7360  0.7933  0.2772
H  0.0438  0.5496  0.6493
H  0.5575  0.0476  0.8452
H  0.7126  0.6070  0.8859
H  0.6096  0.2805  0.1093
H  0.6000  0.7142  0.6056
H  0.2640  0.7933  0.7772
H  0.5558  0.9491  0.6502
H  0.7235  0.5977  0.1048
H  0.3985  0.2825  0.3899
H  0.6083  0.7159  0.3862
H  0.7221  0.3987  0.3906
H  0.2874  0.6070  0.3859
H  0.7368  0.2036  0.2185
H  0.6015  0.2825  0.8899
O  0.8555  0.6662  0.1374
O  0.5014  0.4975  0.4334
O  0.6722  0.1501  0.8577
O  0.6766  0.1513  0.1449
O  0.3278  0.1501  0.3577
O  0.3246  0.8452  0.8508
O  0.1445  0.6662  0.6374
O  0.8414  0.3218  0.6442
O  0.3294  0.8466  0.1377
O  0.3234  0.1513  0.6449
O  0.8543  0.3302  0.3581
O  0.4986  0.4975  0.9334
O  0.1457  0.3302  0.8581
O  0.1586  0.3218  0.1442
O  0.6706  0.8466  0.6377
O  0.4973  0.4988  0.5620
O  0.6754  0.8452  0.3508
O  0.5027  0.4988  0.0620
O  0.8425  0.6751  0.8514
O  0.1575  0.6751  0.3514
Ba  0.0006  0.9983  0.9979
Ba  0.9994  0.9983  0.4979

7.
CsIn2Pb8: relaxed, PBE-GGA.

Calculated values
The space group is No. 123.

Cell: 6.6212 6.6212 10.9367 Å, 90.00 90.00 90.00°
Sites, in units of the cell vectors:
Pb  0.7518  0.2482  0.8049
Pb  0.2482  0.7518  0.8049
Pb  0.7518  0.7518  0.1951
Pb  0.7518  0.2482  0.1951
Pb  0.2482  0.2482  0.1951
Pb  0.2482  0.7518  0.1951
Pb  0.7518  0.7518  0.8049
Pb  0.2482  0.2482  0.8049
Cs  0.5000  0.5000  0.5000
In  0.5000  0.0000  0.0000
In  0.0000  0.5000  0.0000

8.
Th2NbCuN5: relaxed, PBE-GGA.

Calculated values
The uncorrected formation energy comes out at -0.91 eV per atom. The space group is No. 36.

Cell: 3.3212 7.1492 10.2168 Å, 90.00 90.00 103.43°
Sites, in units of the cell vectors:
N  0.3081  0.6162  0.3666
N  0.0517  0.1034  0.0631
N  0.7108  0.4216  0.1517
N  0.5038  0.0076  0.2777
N  0.4962  0.9924  0.7777
N  0.2892  0.5784  0.6517
N  0.6919  0.3838  0.8666
N  0.9483  0.8966  0.5631
N  0.3484  0.6968  0.0053
N  0.6516  0.3032  0.5053
Th  0.1126  0.2252  0.6849
Th  0.8874  0.7748  0.1849
Th  0.1304  0.2608  0.3060
Th  0.8696  0.7392  0.8060
Nb  0.2002  0.4005  0.0073
Nb  0.7998  0.5995  0.5073
Cu  0.5364  0.0729  0.9613
Cu  0.4636  0.9271  0.4613

9.
TbNdSmEr2: relaxed, PBE-GGA.

Calculated values
The space group is No. 63.

Cell: 7.1712 8.4070 7.1288 Å, 126.13 90.00 90.00°
Sites, in units of the cell vectors:
Tb  0.2500  0.2779  0.5558
Tb  0.7500  0.7221  0.4442
Er  0.0000  0.3126  0.0000
Er  0.0000  0.6874  0.0000
Er  0.5000  0.6874  0.0000
Er  0.5000  0.3126  0.0000
Sm  0.2500  0.0003  0.0006
Sm  0.7500  0.9997  0.9994
Nd  0.2500  0.7287  0.4574
Nd  0.7500  0.2713  0.5426

10.
La2DyHo2Er2: relaxed, PBE-GGA.

Calculated values
The space group is No. 12.

Cell: 3.5175 6.1357 11.8878 Å, 71.78 90.00 106.66°
Sites, in units of the cell vectors:
Er  0.7727  0.5455  0.3672
Er  0.2273  0.4545  0.6328
Ho  0.4518  0.9036  0.7665
Ho  0.5482  0.0964  0.2335
La  0.3286  0.6571  0.0840
La  0.6714  0.3429  0.9160
Dy  0.0000  0.0000  0.5000

11.
CeTm5Cu4: relaxed, PBE-GGA.

Calculated values
The space group is No. 123.

Cell: 3.3974 3.3974 18.9894 Å, 90.00 90.00 90.00°
Sites, in units of the cell vectors:
Cu  0.0000  0.0000  0.5911
Cu  0.0000  0.0000  0.4089
Cu  0.0000  0.0000  0.7747
Cu  0.0000  0.0000  0.2253
Ce  0.0000  0.0000  0.0000
Tm  0.5000  0.5000  0.3171
Tm  0.5000  0.5000  0.8630
Tm  0.5000  0.5000  0.5000
Tm  0.5000  0.5000  0.6829
Tm  0.5000  0.5000  0.1370

12.
SrTa2Tc: relaxed, PBE-GGA.

Calculated values
The space group is No. 35.

Cell: 2.9717 2.9717 9.9183 Å, 90.00 90.00 111.69°
Sites, in units of the cell vectors:
Sr  0.5000  0.5000  0.7298
Tc  0.0000  0.0000  0.4666
Ta  0.5000  0.5000  0.2666
Ta  0.0000  0.0000  0.0370

13.
Na2InPd3: relaxed, PBE-GGA.

Calculated values
The space group is No. 166.

Cell: 5.4367 5.4367 5.4367 Å, 62.07 62.07 62.07°
Sites, in units of the cell vectors:
Pd  0.0000  0.0000  0.5000
Pd  0.0000  0.5000  0.0000
Pd  0.5000  0.0000  0.0000
Na  0.3804  0.3804  0.3804
Na  0.6196  0.6196  0.6196
In  0.0000  0.0000  0.0000

14.
K2LiIr: relaxed, PBE-GGA.

Calculated values
The space group is No. 123.

Cell: 5.1224 4.4707 4.4707 Å, 90.00 90.00 90.00°
Sites, in units of the cell vectors:
Li  0.5000  0.5000  0.0000
Ir  0.5000  0.0000  0.5000
K  0.0000  0.0000  0.0000
K  0.0000  0.5000  0.5000

| no. | DOS(E_F) (states/eV per cell) | raw total energy (eV for the cell shown) |
| --- | --- | --- |
| 1 | 4.64 | -31.56 |
| 2 | 2.21 | -30.43 |
| 3 | 3.30 | -9.30 |
| 4 | 9.12 | -98.83 |
| 5 | 3.30 | -25.36 |
| 6 | 0.00 | -271.97 |
| 7 | 5.12 | -34.68 |
| 8 | 10.96 | -157.57 |
| 9 | 15.73 | -42.70 |
| 10 | 11.39 | -32.14 |
| 11 | 7.91 | -46.83 |
| 12 | 4.06 | -33.67 |
| 13 | 2.40 | -23.00 |
| 14 | 1.83 | -9.89 |